Entry 1:
## NbGeN (GGA-PBE)

Data for a relaxed structure of NbGeN.

a b c (Å): 2.926 6.033 5.502
angles (deg): 90.00 100.82 90.00
Space group Pm (No. 6)
Asymmetric unit:
1 Nb 0.000 0.249 0.000
2 Ge 0.772 0.280 0.467
3 N 0.479 0.500 0.952
4 N 0.481 0.000 0.962

Calculated values
Size of the total moment ... 0.00 μB/f.u.
Energy ... -7.981 eV per atom
Density of states at the Fermi level ... 0.331 states/eV/atom

Entry 2:
## YZn2Tc (GGA-PBE)

Data for a relaxed structure of YZn2Tc.

a b c (Å): 3.025 4.221 5.794
angles (deg): 90.00 104.45 90.00
Space group Pm (No. 6)
Asymmetric unit:
1 Y 0.000 0.000 0.000
2 Zn 0.629 0.500 0.268
3 Zn 0.741 0.000 0.504
4 Tc 0.344 0.500 0.694

Calculated values
Size of the total moment ... 0.00 μB/f.u.
Energy ... -4.768 eV per atom
Density of states at the Fermi level ... 0.760 states/eV/atom

Entry 3:
## CrCdTe (GGA-PBE)

Data for a relaxed structure of CrCdTe.

a b c (Å): 6.689 6.689 6.689
angles (deg): 90.00 90.00 90.00
Space group F-43m (No. 216)
Asymmetric unit:
1 Cr 0.000 0.000 0.000
2 Cd 0.250 0.250 0.750
3 Te 0.250 0.250 0.250

Calculated values
Size of the total moment ... 4.02 μB/f.u.
Energy ... -4.426 eV per atom
Density of states at the Fermi level ... 0.360 states/eV/atom

Entry 4:
## Fe2PRu (GGA-PBE)

Data for a relaxed structure of Fe2PRu.

a b c (Å): 2.922 2.922 5.647
angles (deg): 90.00 90.00 90.00
Space group P4mm (No. 99)
Asymmetric unit:
1 Fe 0.000 0.000 0.000
2 Fe 0.500 0.500 0.231
3 P 0.000 0.000 0.464
4 Ru 0.500 0.500 0.703

Calculated values
Size of the total moment ... 4.87 μB/f.u.
Energy ... -8.063 eV per atom
Density of states at the Fermi level ... 0.541 states/eV/atom

Entry 5:
## CaPm2Th3Bi6 (GGA-PBE)

Data for a relaxed structure of CaPm2Th3Bi6.

a b c (Å): 20.017 4.599 9.180
angles (deg): 90.00 103.00 90.00
Space group C2/m (No. 12)
Asymmetric unit:
1 Ca 0.000 0.000 0.000
2 Pm 0.166 0.500 0.333
3 Th 0.000 0.000 0.500
4 Th 0.166 0.500 0.833
5 Bi 0.000 0.500 0.250
6 Bi 0.167 0.000 0.084
7 Bi 0.167 0.000 0.583

Calculated values
Size of the total moment ... 0.00 μB/f.u.
Energy ... -5.513 eV per atom
Density of states at the Fermi level ... 0.435 states/eV/atom

Entry 6:
## TbGdDy2 (GGA-PBE)

Data for a relaxed structure of TbGdDy2.

a b c (Å): 5.028 5.028 5.023
angles (deg): 90.00 90.00 90.00
Space group P4/mmm (No. 123)
Asymmetric unit:
1 Tb 0.000 0.000 0.000
2 Gd 0.500 0.500 0.000
3 Dy 0.000 0.500 0.500

Calculated values
Size of the total moment ... 7.12 μB/f.u.
Energy ... -6.961 eV per atom
Density of states at the Fermi level ... 1.660 states/eV/atom

Entry 7:
## LiGdCdIn (GGA-PBE)

Data for a relaxed structure of LiGdCdIn.

a b c (Å): 7.231 7.231 7.231
angles (deg): 90.00 90.00 90.00
Space group F-43m (No. 216)
Asymmetric unit:
1 Li 0.000 0.000 0.000
2 Gd 0.000 0.000 0.500
3 Cd 0.250 0.250 0.250
4 In 0.250 0.250 0.750

Calculated values
Size of the total moment ... 7.13 μB/f.u.
Energy ... -5.260 eV per atom
Density of states at the Fermi level ... 0.478 states/eV/atom

Entry 8:
## YMgO2 (GGA-PBE)

Data for a relaxed structure of YMgO2.

a b c (Å): 3.5015 3.5015 18.2694
angles (deg): 90.00 90.00 120.00
Space group R-3m (No. 166, hexagonal axes)
Asymmetric unit:
1 Y 0.0000 0.0000 0.0000
2 Mg 0.0000 0.0000 0.5000
3 O 0.0000 0.0000 0.3930

Calculated values
Size of the total moment ... 0.00 μB/f.u.
Energy ... -7.152 eV per atom
Density of states at the Fermi level ... 0.201 states/eV/atom